VASP calculation (PBE) on a geometry-optimized SrAgSb2 structure.

space-group type = P2/m (10)
ΔE_f (raw) = -40 kJ/mol of atoms
energy = -3.613 eV/atom

a = 4.530 Å, b = 4.477 Å, c = 6.288 Å
α = 88.55°, β = 90.00°, γ = 90.00°
Fractional positions:
1 Sb 0.000 0.736 0.485
2 Sb 0.000 0.764 0.015
3 Sr 0.500 0.250 0.250
4 Ag 0.500 0.750 0.750